Entry 1:
This record from the Alexandria database describes crystalline Ta2SiAu at its relaxed geometry. The functional is PBE.

a b c (Å): 3.2798 3.2798 6.3311
angles (deg): 90.00 90.00 90.00
Space group P4/mmm (No. 123)
One atom of each set of equivalent atoms:
Ta1 0.0000 0.0000 0.2177
Si1 0.5000 0.5000 0.0000
Au1 0.5000 0.5000 0.5000

Output
Total magnetic moment, μB/cell: 0.00
Uncorrected formation energy, meV/atom: -38
Density, kg/m3: 14311
V, A^3/atom: 17.026
Density of states at the Fermi level, states/eV/atom: 0.6650


Entry 2:
This record from the Alexandria database describes crystalline TaSi2Au at its relaxed geometry. The functional is PBE.

a b c (Å): 6.4369 6.4369 6.4369
angles (deg): 90.00 90.00 90.00
Space group F-43m (No. 216)
One atom of each set of equivalent atoms:
Ta1 0.0000 0.0000 0.0000
Si1 0.0000 0.0000 0.5000
Si2 0.2500 0.2500 0.2500
Au1 0.2500 0.2500 0.7500

Output
Total magnetic moment, μB/cell: 0.00
Uncorrected formation energy, meV/atom: 455
Density, kg/m3: 10811
V, A^3/atom: 16.669
Density of states at the Fermi level, states/eV/atom: 1.0370


Entry 3:
This record from the Alexandria database describes crystalline TaSiAu2 at its relaxed geometry. The functional is PBE.

a b c (Å): 2.8829 3.3807 6.9579
angles (deg): 90.00 90.00 90.00
Space group Pmm2 (No. 25)
One atom of each set of equivalent atoms:
Ta1 0.0000 0.0000 0.0000
Si1 0.5000 0.5000 0.7860
Au1 0.0000 0.0000 0.5579
Au2 0.5000 0.5000 0.2671

Output
Total magnetic moment, μB/cell: 0.00
Uncorrected formation energy, meV/atom: -5
Density, kg/m3: 14765
V, A^3/atom: 16.953
Density of states at the Fermi level, states/eV/atom: 0.4448


Entry 4:
This record from the Alexandria database describes crystalline TaSi2Au at its relaxed geometry. The functional is PBE.

a b c (Å): 3.0453 3.0453 24.4503
angles (deg): 90.00 90.00 120.00
Space group R3m (No. 160, hexagonal axes)
One atom of each set of equivalent atoms:
Ta1 0.0000 0.0000 0.0000
Si1 0.0000 0.0000 0.4929
Si2 0.0000 0.0000 0.7509
Au1 0.0000 0.0000 0.2385

Output
Total magnetic moment, μB/cell: 0.00
Uncorrected formation energy, meV/atom: 101
Density, kg/m3: 11012
V, A^3/atom: 16.364
Density of states at the Fermi level, states/eV/atom: 0.5614


Entry 5:
This record from the Alexandria database describes crystalline TaSiAu2 at its relaxed geometry. The functional is PBE.

a b c (Å): 2.9572 2.9572 27.2986
angles (deg): 90.00 90.00 120.00
Space group R-3m (No. 166, hexagonal axes)
One atom of each set of equivalent atoms:
Ta1 0.0000 0.0000 0.0000
Si1 0.0000 0.0000 0.5000
Au1 0.0000 0.0000 0.2455

Output
Total magnetic moment, μB/cell: 0.00
Uncorrected formation energy, meV/atom: 141
Density, kg/m3: 14529
V, A^3/atom: 17.229
Density of states at the Fermi level, states/eV/atom: 0.7902


Entry 6:
This record from the Alexandria database describes crystalline Ta2SiAu at its relaxed geometry. The functional is PBE.

a b c (Å): 2.9113 2.9113 27.6922
angles (deg): 90.00 90.00 120.00
Space group R-3m (No. 166, hexagonal axes)
One atom of each set of equivalent atoms:
Ta1 0.0000 0.0000 0.2457
Si1 0.0000 0.0000 0.5000
Au1 0.0000 0.0000 0.0000

Output
Total magnetic moment, μB/cell: 0.00
Uncorrected formation energy, meV/atom: 24
Density, kg/m3: 14385
V, A^3/atom: 16.938
Density of states at the Fermi level, states/eV/atom: 0.9479


Entry 7:
This record from the Alexandria database describes crystalline TaSiAu2 at its relaxed geometry. The functional is PBE.

a b c (Å): 2.9946 4.5879 9.8196
angles (deg): 90.00 90.00 90.00
Space group Immm (No. 71)
One atom of each set of equivalent atoms:
Ta1 0.0000 0.0000 0.0000
Si1 0.0000 0.0000 0.5000
Au1 0.0000 0.5000 0.2203

Output
Total magnetic moment, μB/cell: 0.00
Uncorrected formation energy, meV/atom: 27
Density, kg/m3: 14843
V, A^3/atom: 16.864
Density of states at the Fermi level, states/eV/atom: 0.5566


Entry 8:
This record from the Alexandria database describes crystalline Ta4SiAu at its relaxed geometry. The functional is PBE.

a b c (Å): 7.6735 7.6735 7.6735
angles (deg): 90.00 90.00 90.00
Space group F-43m (No. 216)
One atom of each set of equivalent atoms:
Ta1 0.1242 0.1242 0.3758
Si1 0.2500 0.2500 0.7500
Au1 0.0000 0.0000 0.0000

Output
Total magnetic moment, μB/cell: 0.00
Uncorrected formation energy, meV/atom: 539
Density, kg/m3: 13948
V, A^3/atom: 18.827
Density of states at the Fermi level, states/eV/atom: 0.7909


Entry 9:
This record from the Alexandria database describes crystalline TaSi2Au at its relaxed geometry. The functional is PBE.

a b c (Å): 2.8188 2.8188 8.1845
angles (deg): 90.00 90.00 90.00
Space group P4mm (No. 99)
One atom of each set of equivalent atoms:
Ta1 0.0000 0.0000 0.0000
Si1 0.0000 0.0000 0.5254
Si2 0.5000 0.5000 0.7637
Au1 0.5000 0.5000 0.2646

Output
Total magnetic moment, μB/cell: 0.00
Uncorrected formation energy, meV/atom: 159
Density, kg/m3: 11084
V, A^3/atom: 16.258
Density of states at the Fermi level, states/eV/atom: 0.7300


Entry 10:
This record from the Alexandria database describes crystalline TaSi2Au at its relaxed geometry. The functional is PBE.

a b c (Å): 3.6076 3.6665 9.6662
angles (deg): 90.00 90.00 90.00
Space group Imm2 (No. 44)
One atom of each set of equivalent atoms:
Ta1 0.0000 0.0000 0.0000
Si1 0.0000 0.0000 0.5589
Si2 0.0000 0.5000 0.2972
Au1 0.0000 0.5000 0.7581

Output
Total magnetic moment, μB/cell: 0.00
Uncorrected formation energy, meV/atom: -59
Density, kg/m3: 11275
V, A^3/atom: 15.982
Density of states at the Fermi level, states/eV/atom: 0.1494


Entry 11:
This record from the Alexandria database describes crystalline TaSiAu2 at its relaxed geometry. The functional is PBE.

a b c (Å): 2.8781 5.0831 9.4202
angles (deg): 90.00 90.00 90.00
Space group Imm2 (No. 44)
One atom of each set of equivalent atoms:
Ta1 0.0000 0.0000 0.0000
Si1 0.0000 0.5000 0.7349
Au1 0.0000 0.0000 0.4630
Au2 0.0000 0.5000 0.2338

Output
Total magnetic moment, μB/cell: 0.00
Uncorrected formation energy, meV/atom: 142
Density, kg/m3: 14530
V, A^3/atom: 17.227
Density of states at the Fermi level, states/eV/atom: 0.6405


Entry 12:
This record from the Alexandria database describes crystalline TaSi3Au at its relaxed geometry. The functional is PBE.

a b c (Å): 4.7268 4.7268 4.7268
angles (deg): 90.00 90.00 90.00
Space group Pm-3m (No. 221)
One atom of each set of equivalent atoms:
Ta1 0.0000 0.0000 0.0000
Si1 0.0000 0.5000 0.5000
Au1 0.5000 0.5000 0.5000

Output
Total magnetic moment, μB/cell: 0.00
Uncorrected formation energy, meV/atom: 1428
Density, kg/m3: 7267
V, A^3/atom: 21.122
Density of states at the Fermi level, states/eV/atom: 0.9403